1.
A relaxed structure of Ce2NbSn, computed with PBE-GGA.

Cell: 4.834 4.417 4.417 Å, 90.00 90.00 90.00°
Positions (direct):
Sn  0.500  0.500  0.500
Ce  0.000  0.000  0.500
Ce  0.000  0.500  0.000
Nb  0.500  0.000  0.000

Properties
- VASP energy: -0.2457 Ha/atom
- Symmetry: P4/mmm (123)
- Spin magnetization: 0.00 μB per cell
- Volume: 23.575 Å³ per atom
- Formation enthalpy at 0 K: -19.4 kJ/mol of atoms
- E above lowest polymorph: 0 kJ/mol of formula units

***

2.
A relaxed structure of Pm2TmPb, computed with PBE-GGA.

Cell: 5.554 5.554 5.554 Å, 60.00 60.00 60.00°
Positions (direct):
Pb  0.500  0.500  0.500
Pm  0.750  0.750  0.750
Pm  0.250  0.250  0.250
Tm  0.000  0.000  0.000

Properties
- VASP energy: -0.1678 Ha/atom
- Symmetry: Fm-3m (225)
- Spin magnetization: 0.00 μB per cell
- Volume: 30.287 Å³ per atom
- Formation enthalpy at 0 K: -14.0 kJ/mol of atoms
- E above lowest polymorph: 60 kJ/mol of formula units

***

3.
A relaxed structure of KTaTiAl2, computed with PBE-GGA.

Cell: 5.294 4.781 5.294 Å, 90.00 90.00 90.00°
Positions (direct):
Ta  0.000  0.000  0.000
Al  0.500  0.000  0.000
Al  0.000  0.000  0.500
Ti  0.000  0.500  0.000
K  0.500  0.500  0.500

Properties
- VASP energy: -0.1841 Ha/atom
- Symmetry: P4/mmm (123)
- Spin magnetization: 0.00 μB per cell
- Volume: 26.804 Å³ per atom
- Formation enthalpy at 0 K: 63.3 kJ/mol of atoms

***

4.
A relaxed structure of BeAl2CS, computed with PBE-GGA.

Cell: 4.598 3.169 4.598 Å, 90.00 90.00 90.00°
Positions (direct):
Al  0.000  0.000  0.500
Al  0.500  0.000  0.000
C  0.000  0.500  0.000
S  0.500  0.500  0.500
Be  0.000  0.000  0.000

Properties
- Raw formation energy: 0.59 eV per atom
- VASP energy: -0.1590 Ha/atom
- Symmetry: P4/mmm (123)
- Spin magnetization: 0.00 μB per cell
- Volume: 13.396 Å³ per atom

***

5.
A relaxed structure of KSnH2Cl8, computed with PBE-GGA.

Cell: 6.488 6.784 8.819 Å, 83.48 87.37 69.81°
Last column: magnetic moment on the atom in μB.
Positions (direct):
Cl  0.670  0.715  0.450  0.00
Cl  0.817  0.252  0.181  0.01
Cl  0.817  0.259  0.792  0.03
Cl  0.311  0.160  0.973  0.35
Cl  0.183  0.748  0.819  0.01
Cl  0.183  0.741  0.208  0.03
Cl  0.330  0.285  0.550  0.00
Cl  0.689  0.840  0.027  0.35
Sn  0.000  0.000  0.000  -0.01
H  0.673  0.749  0.301  0.00
H  0.327  0.251  0.699  0.00
K  0.000  0.000  0.500  0.00

Properties
- VASP energy: -0.1122 Ha/atom
- Symmetry: P-1 (2)
- Spin magnetization: 0.98 μB per cell
- Volume: 30.162 Å³ per atom

***

6.
A relaxed structure of Ca3TiI, computed with PBE-GGA.

Cell: 5.860 5.860 5.860 Å, 90.00 90.00 90.00°
Last column: magnetic moment on the atom in μB.
Positions (direct):
Ca  0.000  0.500  0.000  0.07
Ca  0.500  0.000  0.000  0.05
Ca  0.000  0.000  0.500  0.10
Ti  0.500  0.500  0.500  1.86
I  0.000  0.000  0.000  0.03

Properties
- Raw formation energy: 0.40 eV per atom
- VASP energy: -0.0989 Ha/atom
- Symmetry: Pm-3m (221)
- Spin magnetization: 3.51 μB per cell
- Volume: 40.254 Å³ per atom
- E above lowest polymorph: 0 kJ/mol of formula units

***

7.
A relaxed structure of SiAg2BBr, computed with PBE-GGA.

Cell: 4.827 5.415 4.827 Å, 90.00 90.00 90.00°
Positions (direct):
Ag  0.500  0.000  0.000
Ag  0.000  0.000  0.500
B  0.500  0.500  0.500
Si  0.000  0.000  0.000
Br  0.000  0.500  0.000

Properties
- Raw formation energy: 1.26 eV per atom
- VASP energy: -0.0969 Ha/atom
- Symmetry: P4/mmm (123)
- Spin magnetization: 0.00 μB per cell
- Volume: 25.236 Å³ per atom

***

8.
A relaxed structure of Ba3Th2UAs6, computed with PBE-GGA.

Cell: 7.610 7.610 7.934 Å, 99.20 99.20 120.00°
Last column: magnetic moment on the atom in μB.
Positions (direct):
As  0.931  0.608  0.793  -0.03
As  0.069  0.392  0.207  -0.03
As  0.608  0.931  0.793  -0.03
As  0.254  0.254  0.792  -0.03
As  0.392  0.069  0.207  -0.03
As  0.746  0.746  0.208  -0.03
Th  0.666  0.334  0.000  -0.01
Th  0.334  0.666  0.000  -0.01
Ba  0.832  0.168  0.500  0.00
Ba  0.168  0.832  0.500  0.00
Ba  0.500  0.500  0.500  0.00
U  0.000  0.000  0.000  1.90

Properties
- VASP energy: -0.2263 Ha/atom
- Symmetry: C2/m (12)
- Spin magnetization: 1.78 μB per cell
- Volume: 31.416 Å³ per atom
- Formation enthalpy at 0 K: -113.4 kJ/mol of atoms